# FeRu2Pb (PBE, relaxed)
# * total moment: 3.844 μB per cell
# * E_form: 1.79 eV/f.u.
data_FeRu2Pb
_chemical_formula_sum 'Fe1 Ru2 Pb1'
_cell_length_a 4.434
_cell_length_b 4.434
_cell_length_c 3.243
_cell_angle_alpha 90.00
_cell_angle_beta 90.00
_cell_angle_gamma 90.00
_symmetry_space_group_name_H-M 'P 4/m m m'
_symmetry_Int_Tables_number 123
_symmetry_space_group_name_Hall '-P 4 2'
loop_
_atom_site_label
_atom_site_type_symbol
_atom_site_fract_x
_atom_site_fract_y
_atom_site_fract_z
_atom_site_occupancy
Fe1 Fe 0.000 0.000 0.000 1
Ru1 Ru 0.000 0.500 0.500 1
Pb1 Pb 0.500 0.500 0.000 1

# KLi2Al (PBE, relaxed)
# * total moment: 0.000 μB per cell
# * E_form: 1.32 eV/f.u.
data_KLi2Al
_chemical_formula_sum 'K1 Li2 Al1'
_cell_length_a 3.222
_cell_length_b 5.562
_cell_length_c 6.013
_cell_angle_alpha 90.00
_cell_angle_beta 90.00
_cell_angle_gamma 90.00
_symmetry_space_group_name_H-M 'P m m m'
_symmetry_Int_Tables_number 47
loop_
_symmetry_equiv_pos_as_xyz
'x,y,z'
'-x,-y,-z'
'-x,-y,z'
'x,y,-z'
'x,-y,-z'
'-x,y,z'
'-x,y,-z'
'x,-y,z'
loop_
_atom_site_label
_atom_site_type_symbol
_atom_site_fract_x
_atom_site_fract_y
_atom_site_fract_z
_atom_site_occupancy
K1 K 0.000 0.000 0.000 1
Li1 Li 0.000 0.500 0.500 1
Li2 Li 0.500 0.500 0.000 1
Al1 Al 0.500 0.000 0.500 1

# CsRb2IrCl6 (PBE, relaxed)
# * energy relative to the elements, uncorrected: -1.373 eV/atom
# * total moment: 0.000 μB per cell
data_CsRb2IrCl6
_chemical_formula_sum 'Cs2 Rb4 Ir2 Cl12'
_cell_length_a 7.206
_cell_length_b 11.036
_cell_length_c 9.039
_cell_angle_alpha 90.00
_cell_angle_beta 90.00
_cell_angle_gamma 90.00
_symmetry_space_group_name_H-M 'P m m n'
_symmetry_Int_Tables_number 59
loop_
_symmetry_equiv_pos_as_xyz
'x,y,z'
'-x,-y,-z'
'-x+1/2,-y+1/2,z'
'x+1/2,y+1/2,-z'
'x+1/2,-y,-z'
'-x+1/2,y,z'
'-x,y+1/2,-z'
'x,-y+1/2,z'
loop_
_atom_site_label
_atom_site_type_symbol
_atom_site_fract_x
_atom_site_fract_y
_atom_site_fract_z
_atom_site_occupancy
Cs1 Cs 0.250 0.250 0.172 1
Rb1 Rb 0.250 0.045 0.667 1
Ir1 Ir 0.250 0.750 0.318 1
Cl1 Cl 0.016 0.750 0.134 1
Cl2 Cl 0.022 0.750 0.509 1
Cl3 Cl 0.250 0.535 0.315 1

Among the records above, which one has the highest total moment? FeRu2Pb